--- P ---
The following is a DFT calculation (PBE-GGA) of a relaxed structure of YAgRu.

The magnetization comes out at 0.00 μB/cell. The value obtained for the density of states at the Fermi level is 2.44 states/eV/cell.

The structure belongs to space group P3m1 (No. 156); the cell edges are 3.2733, 3.2733 and 6.7091 Å and the angles 90.00°, 90.00° and 120.00°. The inequivalent atoms are Y at (0.0000, 0.0000, 0.0000), Ag at (0.6667, 0.3333, 0.3824) and Ru at (0.3333, 0.6667, 0.7057).

***

--- Q ---
The following is a DFT calculation (PBE-GGA) of a relaxed structure of YAgRu.

The magnetization comes out at 0.00 μB/cell. The value obtained for the density of states at the Fermi level is 3.53 states/eV/cell.

The structure belongs to space group P-6m2 (No. 187); the cell edges are 4.5425, 4.5425 and 3.4620 Å and the angles 90.00°, 90.00° and 120.00°. The inequivalent atoms are Y at (0.0000, 0.0000, 0.0000), Ag at (0.6667, 0.3333, 0.5000) and Ru at (0.3333, 0.6667, 0.5000).

***

Which one sits at the bottom of the stability order? P does.

***

--- P ---
The following is a DFT calculation (PBE-GGA) of a relaxed structure of Y4AgRu.

The magnetization comes out at 0.00 μB/cell. The value obtained for the density of states at the Fermi level is 13.33 states/eV/cell.

The structure belongs to space group C2/m (No. 12); the cell edges are 6.9042, 6.9041 and 7.0758 Å and the angles 90.00°, 90.09° and 90.00°. The inequivalent atoms are Y at (0.2496, 0.2498, 0.2331), Ag at (0.0000, 0.0000, 0.5000) and Ru at (0.0000, 0.5000, 0.0000).

***

--- Q ---
The following is a DFT calculation (PBE-GGA) of a relaxed structure of Y4AgRu.

The magnetization comes out at 0.00 μB/cell. The value obtained for the density of states at the Fermi level is 122.56 states/eV/cell.

The structure belongs to space group F-43m (No. 216); the cell edges are 13.5441, 13.5441 and 13.5441 Å and the angles 90.00°, 90.00° and 90.00°. The inequivalent atoms are Y at (0.0000, 0.0000, 0.1889), Y at (0.0609, 0.2500, 0.2500), Y at (0.0991, 0.0991, 0.5991), Ag at (0.1684, 0.1684, 0.8316) and Ru at (0.1097, 0.1097, 0.3903).

***

--- R ---
The following is a DFT calculation (PBE-GGA) of a relaxed structure of Y4AgRu.

The magnetization comes out at 4.75 μB/cell. The value obtained for the density of states at the Fermi level is 32.49 states/eV/cell.

The structure belongs to space group F-43m (No. 216); the cell edges are 8.5415, 8.5415 and 8.5415 Å and the angles 90.00°, 90.00° and 90.00°. The inequivalent atoms are Y at (0.1239, 0.1239, 0.3761), Ag at (0.0000, 0.0000, 0.0000) and Ru at (0.2500, 0.2500, 0.7500).

***

Which one sits at the bottom of the stability order? R does.

***

--- P ---
The following is a DFT calculation (PBE-GGA) of a relaxed structure of YAg2Ru.

The magnetization comes out at 3.66 μB/cell. The value obtained for the density of states at the Fermi level is 12.70 states/eV/cell.

The structure belongs to space group R-3m (No. 166, hexagonal axes); the cell edges are 2.9984, 2.9984 and 29.7209 Å and the angles 90.00°, 90.00° and 120.00°. The inequivalent atoms are Y at (0.0000, 0.0000, 0.0000), Ag at (0.0000, 0.0000, 0.2438) and Ru at (0.0000, 0.0000, 0.5000).

***

--- Q ---
The following is a DFT calculation (PBE-GGA) of a relaxed structure of YAg2Ru.

The magnetization comes out at 0.42 μB/cell. The value obtained for the density of states at the Fermi level is 3.70 states/eV/cell.

The structure belongs to space group P2/m (No. 10); the cell edges are 3.1432, 4.8903 and 5.2306 Å and the angles 90.00°, 103.52° and 90.00°. The inequivalent atoms are Y at (0.0000, 0.0000, 0.0000), Ag at (0.3308, 0.5000, 0.7271) and Ru at (0.5000, 0.0000, 0.5000).

***

Which one sits at the bottom of the stability order? P does.

***

--- P ---
The following is a DFT calculation (PBE-GGA) of a relaxed structure of Zn2AgRu.

The magnetization comes out at 0.94 μB/cell. The value obtained for the density of states at the Fermi level is 4.21 states/eV/cell.

The structure belongs to space group Cmmm (No. 65); the cell edges are 3.0717, 4.5439 and 8.7068 Å and the angles 90.00°, 90.00° and 90.00°. The inequivalent atoms are Zn at (0.0000, 0.0000, 0.2391), Ag at (0.0000, 0.5000, 0.5000) and Ru at (0.0000, 0.5000, 0.0000).

***

--- Q ---
The following is a DFT calculation (PBE-GGA) of a relaxed structure of Zn2AgRu.

The magnetization comes out at 0.00 μB/cell. The value obtained for the density of states at the Fermi level is 1.96 states/eV/cell.

The structure belongs to space group P4/mmm (No. 123); the cell edges are 3.1449, 3.1449 and 6.0469 Å and the angles 90.00°, 90.00° and 90.00°. The inequivalent atoms are Zn at (0.0000, 0.0000, 0.2250), Ag at (0.5000, 0.5000, 0.5000) and Ru at (0.5000, 0.5000, 0.0000).

***

--- R ---
The following is a DFT calculation (PBE-GGA) of a relaxed structure of Zn2AgRu.

The magnetization comes out at 0.00 μB/cell. The value obtained for the density of states at the Fermi level is 5.05 states/eV/cell.

The structure belongs to space group R-3m (No. 166, hexagonal axes); the cell edges are 2.8101, 2.8101 and 26.4398 Å and the angles 90.00°, 90.00° and 120.00°. The inequivalent atoms are Zn at (0.0000, 0.0000, 0.2462), Ag at (0.0000, 0.0000, 0.0000) and Ru at (0.0000, 0.0000, 0.5000).

***

Which one sits at the bottom of the stability order? P does.

***

--- P ---
The following is a DFT calculation (PBE-GGA) of a relaxed structure of Zn2AgRu.

The magnetization comes out at 0.00 μB/cell. The value obtained for the density of states at the Fermi level is 1.98 states/eV/cell.

The structure belongs to space group Pmm2 (No. 25); the cell edges are 2.7215, 4.0732 and 5.4541 Å and the angles 90.00°, 90.00° and 90.00°. The inequivalent atoms are Zn at (0.0000, 0.0000, 0.0000), Zn at (0.5000, 0.5000, 0.2816), Ag at (0.0000, 0.0000, 0.5088) and Ru at (0.5000, 0.5000, 0.7994).

***

--- Q ---
The following is a DFT calculation (PBE-GGA) of a relaxed structure of Zn2AgRu.

The magnetization comes out at 1.21 μB/cell. The value obtained for the density of states at the Fermi level is 4.62 states/eV/cell.

The structure belongs to space group Imm2 (No. 44); the cell edges are 2.9442, 4.4200 and 9.2115 Å and the angles 90.00°, 90.00° and 90.00°. The inequivalent atoms are Zn at (0.0000, 0.0000, 0.0000), Zn at (0.0000, 0.5000, 0.2571), Ag at (0.0000, 0.5000, 0.7508) and Ru at (0.0000, 0.0000, 0.5184).

***

Which one sits at the bottom of the stability order? P does.

***

--- P ---
The following is a DFT calculation (PBE-GGA) of a relaxed structure of Zn2AgRu.

The magnetization comes out at 0.00 μB/cell. The value obtained for the density of states at the Fermi level is 2.28 states/eV/cell.

The structure belongs to space group P4/mmm (No. 123); the cell edges are 4.2063, 4.2063 and 3.3195 Å and the angles 90.00°, 90.00° and 90.00°. The inequivalent atoms are Zn at (0.0000, 0.5000, 0.0000), Ag at (0.0000, 0.0000, 0.5000) and Ru at (0.5000, 0.5000, 0.5000).

***

--- Q ---
The following is a DFT calculation (PBE-GGA) of a relaxed structure of Zn2AgRu.

The magnetization comes out at 0.00 μB/cell. The value obtained for the density of states at the Fermi level is 7.83 states/eV/cell.

The structure belongs to space group F-43m (No. 216); the cell edges are 6.2213, 6.2213 and 6.2213 Å and the angles 90.00°, 90.00° and 90.00°. The inequivalent atoms are Zn at (0.0000, 0.0000, 0.0000), Zn at (0.2500, 0.2500, 0.2500), Ag at (0.2500, 0.2500, 0.7500) and Ru at (0.0000, 0.0000, 0.5000).

***

--- R ---
The following is a DFT calculation (PBE-GGA) of a relaxed structure of Zn2AgRu.

The magnetization comes out at 1.28 μB/cell. The value obtained for the density of states at the Fermi level is 6.85 states/eV/cell.

The structure belongs to space group I-42d (No. 122); the cell edges are 3.8946, 3.8946 and 17.7722 Å and the angles 90.00°, 90.00° and 90.00°. The inequivalent atoms are Zn at (0.2270, 0.2500, 0.1250), Ag at (0.0000, 0.0000, 0.5000) and Ru at (0.0000, 0.0000, 0.0000).

***

Which one sits at the bottom of the stability order? R does.

***

--- P ---
The following is a DFT calculation (PBE-GGA) of a relaxed structure of Zr2Ag2Ru.

The magnetization comes out at 3.80 μB/cell. The value obtained for the density of states at the Fermi level is 12.46 states/eV/cell.

The structure belongs to space group I4/mmm (No. 139); the cell edges are 3.9855, 3.9855 and 13.2543 Å and the angles 90.00°, 90.00° and 90.00°. The inequivalent atoms are Zr at (0.0000, 0.5000, 0.2500), Ag at (0.0000, 0.0000, 0.0950) and Ru at (0.0000, 0.0000, 0.5000).

***

--- Q ---
The following is a DFT calculation (PBE-GGA) of a relaxed structure of Zr2Ag2Ru.

The magnetization comes out at 0.00 μB/cell. The value obtained for the density of states at the Fermi level is 11.42 states/eV/cell.

The structure belongs to space group P4/mbm (No. 127); the cell edges are 7.3212, 7.3212 and 3.6029 Å and the angles 90.00°, 90.00° and 90.00°. The inequivalent atoms are Zr at (0.1813, 0.3187, 0.0000), Ag at (0.1264, 0.6264, 0.5000) and Ru at (0.0000, 0.0000, 0.5000).

***

Which one sits at the bottom of the stability order? P does.

***

--- P ---
The following is a DFT calculation (PBE-GGA) of a relaxed structure of ZrAgRu3.

The magnetization comes out at 3.66 μB/cell. The value obtained for the density of states at the Fermi level is 8.57 states/eV/cell.

The structure belongs to space group Pm-3m (No. 221); the cell edges are 4.7347, 4.7347 and 4.7347 Å and the angles 90.00°, 90.00° and 90.00°. The inequivalent atoms are Zr at (0.0000, 0.0000, 0.0000), Ag at (0.5000, 0.5000, 0.5000) and Ru at (0.0000, 0.5000, 0.5000).

***

--- Q ---
The following is a DFT calculation (PBE-GGA) of a relaxed structure of ZrAgRu3.

The magnetization comes out at 3.55 μB/cell. The value obtained for the density of states at the Fermi level is 4.07 states/eV/cell.

The structure belongs to space group Pm-3m (No. 221); the cell edges are 4.7999, 4.7999 and 4.7999 Å and the angles 90.00°, 90.00° and 90.00°. The inequivalent atoms are Zr at (0.0000, 0.0000, 0.0000), Ag at (0.5000, 0.5000, 0.5000) and Ru at (0.0000, 0.0000, 0.5000).

***

Which one sits at the bottom of the stability order? P does.

***

--- P ---
The following is a DFT calculation (PBE-GGA) of a relaxed structure of Ag5S3.

The magnetization comes out at 0.00 μB/cell. The value obtained for the density of states at the Fermi level is 10.85 states/eV/cell.

The structure belongs to space group P6_3/mcm (No. 193); the cell edges are 7.2545, 7.2545 and 6.8923 Å and the angles 90.00°, 90.00° and 120.00°. The inequivalent atoms are Ag at (0.0000, 0.2315, 0.2500), Ag at (0.3333, 0.6667, 0.0000) and S at (0.0000, 0.3921, 0.7500).

***

--- Q ---
The following is a DFT calculation (PBE-GGA) of a relaxed structure of Ag5S3.

The magnetization comes out at 0.00 μB/cell. The value obtained for the density of states at the Fermi level is 14.72 states/eV/cell.

The structure belongs to space group Pnma (No. 62); the cell edges are 12.0573, 7.5441 and 6.6493 Å and the angles 90.00°, 90.00° and 90.00°. The inequivalent atoms are Ag at (0.0028, 0.2500, 0.0159), Ag at (0.0989, 0.5624, 0.3315), Ag at (0.1892, 0.2500, 0.6727), Ag at (0.2228, 0.7500, 0.7104), S at (0.0163, 0.2500, 0.4328) and S at (0.1705, 0.0046, 0.9818).

***

Which one sits at the bottom of the stability order? P does.

***

--- P ---
The following is a DFT calculation (PBE-GGA) of a relaxed structure of Ag3SbS.

The magnetization comes out at 0.00 μB/cell. The value obtained for the density of states at the Fermi level is 4.30 states/eV/cell.

The structure belongs to space group Pm-3m (No. 221); the cell edges are 4.8871, 4.8871 and 4.8871 Å and the angles 90.00°, 90.00° and 90.00°. The inequivalent atoms are Ag at (0.0000, 0.0000, 0.5000), Sb at (0.5000, 0.5000, 0.5000) and S at (0.0000, 0.0000, 0.0000).

***

--- Q ---
The following is a DFT calculation (PBE-GGA) of a relaxed structure of Ag3SbS.

The magnetization comes out at 2.00 μB/cell. The value obtained for the density of states at the Fermi level is 2.61 states/eV/cell.

The structure belongs to space group Pm-3m (No. 221); the cell edges are 5.2582, 5.2582 and 5.2582 Å and the angles 90.00°, 90.00° and 90.00°. The inequivalent atoms are Ag at (0.0000, 0.0000, 0.5000), Sb at (0.0000, 0.0000, 0.0000) and S at (0.5000, 0.5000, 0.5000).

***

--- R ---
The following is a DFT calculation (PBE-GGA) of a relaxed structure of Ag3SbS.

The magnetization comes out at 0.00 μB/cell. The value obtained for the density of states at the Fermi level is 10.56 states/eV/cell.

The structure belongs to space group C2/c (No. 15); the cell edges are 11.6570, 7.0443 and 10.5075 Å and the angles 90.00°, 94.37° and 90.00°. The inequivalent atoms are Ag at (0.0505, 0.1864, 0.1199), Ag at (0.1601, 0.4260, 0.3880), Ag at (0.1923, 0.0233, 0.3350), Sb at (0.1105, 0.2039, 0.6068), S at (0.0000, 0.4247, 0.7500) and S at (0.2500, 0.2500, 0.0000).

***

Which one sits at the bottom of the stability order? Q does.